# 1
# GGA-PBE YMnCo10, optimized geometry
data_YMnCo10
_space_group_name_H-M_alt 'P m m m'
_space_group_IT_number 47
_cell_length_a 4.0133
_cell_length_b 4.7550
_cell_length_c 8.3482
_cell_angle_alpha 90.00
_cell_angle_beta 90.00
_cell_angle_gamma 90.00
loop_
_space_group_symop_operation_xyz
'x,y,z'
'-x,-y,-z'
'-x,-y,z'
'x,y,-z'
'x,-y,-z'
'-x,y,z'
'-x,y,-z'
'x,-y,z'
loop_
_atom_site_label
_atom_site_fract_x
_atom_site_fract_y
_atom_site_fract_z
_atom_site_occupancy
Y1 0.0000 0.0000 0.0000 1
Mn1 0.0000 0.5000 0.5000 1
Co1 0.0000 0.0000 0.3472 1
Co2 0.0000 0.5000 0.1998 1
Co3 0.5000 0.0000 0.5000 1
Co4 0.5000 0.2517 0.2545 1
Co5 0.5000 0.5000 0.0000 1
# N(E_F) (states/eV per atom): 1.256
# Total magnetization (μB/atom): 1.663
# ΔH_f (0 K) (meV/atom): 64
# Density (g/cm³): 7.6
# Electronic total energy (eV/atom): -7.160



# 2
# GGA-PBE YMnCo2, optimized geometry
data_YMnCo2
_space_group_name_H-M_alt 'I -4 2 d'
_space_group_IT_number 122
_space_group_name_Hall 'I -4 2bw'
_cell_length_a 4.4143
_cell_length_b 4.4143
_cell_length_c 15.7343
_cell_angle_alpha 90.00
_cell_angle_beta 90.00
_cell_angle_gamma 90.00
loop_
_atom_site_label
_atom_site_fract_x
_atom_site_fract_y
_atom_site_fract_z
_atom_site_occupancy
Y1 0.0000 0.0000 0.0000 1
Mn1 0.0000 0.0000 0.5000 1
Co1 0.0042 0.2500 0.6250 1
# N(E_F) (states/eV per atom): 0.987
# Total magnetization (μB/atom): 1.194
# ΔH_f (0 K) (meV/atom): 380
# Energy relative to the lowest polymorph listed for this composition (eV/atom): 0.4134
# Density (g/cm³): 5.7
# Electronic total energy (eV/atom): -7.082



# 3
# GGA-PBE Y2Mn3Co, optimized geometry
data_Y2Mn3Co
_space_group_name_H-M_alt 'R -3 m'
_space_group_IT_number 166
_space_group_name_Hall '-R 3 2"'
_cell_length_a 5.2253
_cell_length_b 5.2253
_cell_length_c 12.4422
_cell_angle_alpha 90.00
_cell_angle_beta 90.00
_cell_angle_gamma 120.00
loop_
_atom_site_label
_atom_site_fract_x
_atom_site_fract_y
_atom_site_fract_z
_atom_site_occupancy
Y1 0.0000 0.0000 0.1262 1
Mn1 0.0000 0.5000 0.0000 1
Co1 0.0000 0.0000 0.5000 1
# N(E_F) (states/eV per atom): 1.291
# Total magnetization (μB/atom): 1.064
# ΔH_f (0 K) (meV/atom): 48
# Density (g/cm³): 6.8
# Electronic total energy (eV/atom): -7.875



# 4
# GGA-PBE YMnCo2, optimized geometry
data_YMnCo2
_space_group_name_H-M_alt 'P 4/m m m'
_space_group_IT_number 123
_space_group_name_Hall '-P 4 2'
_cell_length_a 4.3185
_cell_length_b 4.3185
_cell_length_c 3.2441
_cell_angle_alpha 90.00
_cell_angle_beta 90.00
_cell_angle_gamma 90.00
loop_
_atom_site_label
_atom_site_fract_x
_atom_site_fract_y
_atom_site_fract_z
_atom_site_occupancy
Y1 0.0000 0.0000 0.0000 1
Mn1 0.5000 0.5000 0.0000 1
Co1 0.0000 0.5000 0.5000 1
# N(E_F) (states/eV per atom): 0.987
# Total magnetization (μB/atom): 1.201
# ΔH_f (0 K) (meV/atom): 90
# Energy relative to the lowest polymorph listed for this composition (eV/atom): 0.1231
# Density (g/cm³): 7.2
# Electronic total energy (eV/atom): -7.372



# 5
# GGA-PBE YMn6Co6, optimized geometry
data_YMn6Co6
_space_group_name_H-M_alt 'I m m m'
_space_group_IT_number 71
_space_group_name_Hall '-I 2 2'
_cell_length_a 4.7173
_cell_length_b 8.1975
_cell_length_c 8.2855
_cell_angle_alpha 90.00
_cell_angle_beta 90.00
_cell_angle_gamma 90.00
loop_
_atom_site_label
_atom_site_fract_x
_atom_site_fract_y
_atom_site_fract_z
_atom_site_occupancy
Y1 0.0000 0.0000 0.0000 1
Mn1 0.0000 0.0000 0.3522 1
Mn2 0.0000 0.3719 0.0000 1
Mn3 0.0000 0.5000 0.2882 1
Co1 0.0000 0.2684 0.5000 1
Co2 0.2500 0.2500 0.2500 1
# N(E_F) (states/eV per atom): 1.271
# Total magnetization (μB/atom): 0.066
# ΔH_f (0 K) (meV/atom): -2
# Density (g/cm³): 8.0
# Electronic total energy (eV/atom): -8.010



# 6
# GGA-PBE Y2Mn2Co, optimized geometry
data_Y2Mn2Co
_space_group_name_H-M_alt 'P 4/m b m'
_space_group_IT_number 127
_space_group_name_Hall '-P 4 2ab'
_cell_length_a 6.4862
_cell_length_b 6.4862
_cell_length_c 4.5490
_cell_angle_alpha 90.00
_cell_angle_beta 90.00
_cell_angle_gamma 90.00
loop_
_atom_site_label
_atom_site_fract_x
_atom_site_fract_y
_atom_site_fract_z
_atom_site_occupancy
Y1 0.1742 0.3258 0.0000 1
Mn1 0.1421 0.6421 0.5000 1
Co1 0.0000 0.0000 0.5000 1
# N(E_F) (states/eV per atom): 0.820
# Total magnetization (μB/atom): 1.143
# ΔH_f (0 K) (meV/atom): 182
# Density (g/cm³): 6.0
# Electronic total energy (eV/atom): -7.493



# 7
# GGA-PBE Y2Mn5Co12, optimized geometry
data_Y2Mn5Co12
_space_group_name_H-M_alt 'R -3 m'
_space_group_IT_number 166
_space_group_name_Hall '-R 3 2"'
_cell_length_a 8.2682
_cell_length_b 8.2682
_cell_length_c 12.1011
_cell_angle_alpha 90.00
_cell_angle_beta 90.00
_cell_angle_gamma 120.00
loop_
_atom_site_label
_atom_site_fract_x
_atom_site_fract_y
_atom_site_fract_z
_atom_site_occupancy
Y1 0.0000 0.0000 0.1525 1
Mn1 0.0000 0.0000 0.4090 1
Mn2 0.0000 0.5000 0.0000 1
Co1 0.0000 0.2905 0.5000 1
Co2 0.0090 0.5045 0.3470 1
# N(E_F) (states/eV per atom): 1.498
# Total magnetization (μB/atom): 0.948
# ΔH_f (0 K) (meV/atom): -26
# Density (g/cm³): 8.1
# Electronic total energy (eV/atom): -7.607



# 8
# GGA-PBE YMnCo3, optimized geometry
data_YMnCo3
_space_group_name_H-M_alt 'P m -3 m'
_space_group_IT_number 221
_space_group_name_Hall '-P 4 2 3'
_cell_length_a 4.2605
_cell_length_b 4.2605
_cell_length_c 4.2605
_cell_angle_alpha 90.00
_cell_angle_beta 90.00
_cell_angle_gamma 90.00
loop_
_atom_site_label
_atom_site_fract_x
_atom_site_fract_y
_atom_site_fract_z
_atom_site_occupancy
Y1 0.0000 0.0000 0.0000 1
Mn1 0.5000 0.5000 0.5000 1
Co1 0.0000 0.5000 0.5000 1
# N(E_F) (states/eV per atom): 1.331
# Total magnetization (μB/atom): 0.000
# ΔH_f (0 K) (meV/atom): 463
# Energy relative to the lowest polymorph listed for this composition (eV/atom): 0.0000
# Density (g/cm³): 6.9
# Electronic total energy (eV/atom): -6.927